[1]
VASP calculation (PBE) on a relaxed LaBe8 crystal.

Unit cell a=7.8300 b=7.8300 c=3.5819 alpha=90.00 beta=90.00 gamma=90.00
With the nearest neighbours (Å) after each atom.
Space group I4/mmm (No. 139)
Asymmetric unit:
La 0.0000 0.0000 0.0000 (multiplicity 2)  12 Be 2.84-2.92
Be 0.0000 0.3626 0.0000 (multiplicity 8)  7 Be 2.15-2.35
Be 0.2088 0.2088 0.5000 (multiplicity 8)  2 Be 2.01

Summary:
Energy relative to the elements = 0.422 eV per atom



[2]
VASP calculation (PBE) on a relaxed LaBe3 crystal.

Unit cell a=5.2364 b=6.7733 c=3.8036 alpha=90.00 beta=90.00 gamma=90.00
With the nearest neighbours (Å) after each atom.
Space group Cmmm (No. 65)
Asymmetric unit:
La 0.0000 0.0000 0.0000 (multiplicity 2)  2 Be 2.62
Be 0.0000 0.3493 0.5000 (multiplicity 4)  3 Be 2.04-2.16
Be 0.0000 0.5000 0.0000 (multiplicity 2)  4 Be 2.16

Summary:
Offset from the most stable computed form = 0.346 eV per atom
Energy relative to the elements = 0.335 eV per atom



[3]
VASP calculation (PBE) on a relaxed LaBe3 crystal.

Unit cell a=3.0640 b=3.6629 c=5.7609 alpha=90.00 beta=90.00 gamma=90.00
With the nearest neighbours (Å) after each atom.
Space group Pmm2 (No. 25)
Asymmetric unit:
La 0.0000 0.0000 0.0000 (multiplicity 1)  6 Be 2.86-3.16, 2 La 3.06
Be 0.0000 0.5000 0.5162 (multiplicity 1)  2 Be 2.08
Be 0.5000 0.0000 0.4792 (multiplicity 1)  6 Be 2.18-2.40
Be 0.5000 0.5000 0.2728 (multiplicity 1)  4 Be 2.08-2.18

Summary:
Offset from the most stable computed form = 0.371 eV per atom
Energy relative to the elements = 0.360 eV per atom



The lowest energy relative to the elements belongs to which entry? number 2



Which of these has the lowest energy relative to the elements? number 2



What is the formula in the first record? LaBe8